1.
This record from Alexandria via LeMat-Bulk describes a relaxed RbTaBe crystal. The functional is PBE.

Properties
volume: 27.84 Å³/atom
calculated formation energy: 0.451 eV/atom

Cell lengths 3.4102, 3.8431, 12.9424 Å; angles 98.31, 84.47, 90.00 degrees
Sites, in units of the cell vectors:
Be1 0.9584 0.1326 0.3792
Be2 0.4190 0.1849 0.4869
Ta1 0.9093 0.6976 0.5132
Ta2 0.4678 0.6196 0.3529
Rb1 0.5687 0.9992 0.1132
Rb2 0.8317 0.3120 0.7529

2.
This record from Alexandria via LeMat-Bulk describes a relaxed Tl2TePd2 crystal. The functional is PBE.

Properties
volume: 24.03 Å³/atom
formation energy without anion corrections: -0.2139 eV/atom

Cell lengths 6.7777, 6.7777, 7.1291 Å; angles 80.80, 80.80, 48.19 degrees
Sites, in units of the cell vectors:
Tl1 0.9397 0.7182 0.1539
Tl2 0.0603 0.2818 0.8461
Tl3 0.2818 0.0603 0.3461
Tl4 0.7182 0.9397 0.6539
Pd1 0.4957 0.2150 0.9887
Pd2 0.7850 0.5043 0.5113
Pd3 0.2150 0.4957 0.4887
Pd4 0.5043 0.7850 0.0113
Te1 0.6294 0.3706 0.2500
Te2 0.3706 0.6294 0.7500

3.
This record from Alexandria via LeMat-Bulk describes a relaxed YRe2Mo crystal. The functional is PBE.

Properties
volume: 17.62 Å³/atom
calculated formation energy: 0.480 eV/atom

Cell lengths 9.3165, 9.3165, 9.3165 Å; angles 18.42, 18.42, 18.42 degrees
Sites, in units of the cell vectors:
Re1 0.0078 0.0078 0.0078
Re2 0.4922 0.4922 0.4922
Y1 0.2500 0.2500 0.2500
Mo1 0.7500 0.7500 0.7500

4.
This record from Alexandria via LeMat-Bulk describes a relaxed LaY7Tm3 crystal. The functional is PBE.

Properties
volume: 33.19 Å³/atom
calculated formation energy: 0.256 eV/atom

Cell lengths 5.8072, 8.4464, 8.4464 Å; angles 84.01, 110.15, 110.15 degrees
Sites, in units of the cell vectors:
Tm1 0.0000 0.7952 0.2048
Tm2 0.5000 0.0000 0.0000
Tm3 0.0000 0.2048 0.7952
Y1 0.7040 0.4002 0.0077
Y2 0.7040 0.0077 0.4002
Y3 0.7951 0.7956 0.7956
Y4 0.2960 0.5998 0.9923
Y5 0.0000 0.5000 0.5000
Y6 0.2049 0.2044 0.2044
Y7 0.2960 0.9923 0.5998
La1 0.5000 0.5000 0.5000

5.
This record from Alexandria via LeMat-Bulk describes a relaxed Ac2TiGe3Ir4 crystal. The functional is PBE.

Properties
volume: 19.88 Å³/atom
calculated formation energy: -0.771 eV/atom

Cell lengths 4.2786, 4.2786, 10.8574 Å; angles 90.00, 90.00, 90.00 degrees
Sites, in units of the cell vectors:
Ti1 0.5000 0.5000 0.5000
Ir1 0.0000 0.5000 0.3643
Ir2 0.0000 0.0000 0.0000
Ir3 0.5000 0.0000 0.6357
Ir4 0.5000 0.5000 0.0000
Ge1 0.5000 0.0000 0.8755
Ge2 0.0000 0.5000 0.1245
Ge3 0.0000 0.0000 0.5000
Ac1 0.5000 0.0000 0.2480
Ac2 0.0000 0.5000 0.7520

6.
This record from Alexandria via LeMat-Bulk describes a relaxed Ac2PuPaN4 crystal. The functional is PBE.

Properties
volume: 17.58 Å³/atom
formation energy without anion corrections: -1.2820 eV/atom

Cell lengths 3.6367, 6.3029, 6.5032 Å; angles 109.37, 90.00, 90.00 degrees
Sites, in units of the cell vectors:
N1 0.5000 0.7806 0.8032
N2 0.0000 0.7392 0.1950
N3 0.0000 0.2608 0.8050
N4 0.5000 0.2194 0.1968
Ac1 0.0000 0.5000 0.5000
Ac2 0.5000 0.0000 0.5000
Pu1 0.5000 0.5000 0.0000
Pa1 0.0000 0.0000 0.0000

7.
This record from Alexandria via LeMat-Bulk describes a relaxed ScGaH2 crystal. The functional is PBE.

Properties
E_tot: -4.15 eV/atom
volume: 12.02 Å³/atom

Cell lengths 4.3411, 4.3411, 5.9547 Å; angles 68.62, 68.62, 90.00 degrees
Sites, in units of the cell vectors:
H1 0.8750 0.8377 0.7500
H2 0.5877 0.1250 0.2500
H3 0.3750 0.4123 0.7500
H4 0.1623 0.6250 0.2500
Sc1 0.5000 0.5000 0.0000
Sc2 0.2500 0.7500 0.5000
Ga1 0.0000 0.0000 0.0000
Ga2 0.7500 0.2500 0.5000

8.
This record from Alexandria via LeMat-Bulk describes a relaxed LaTa2Re2 crystal. The functional is PBE.

Properties
volume: 21.84 Å³/atom
calculated formation energy: 0.307 eV/atom

Cell lengths 4.2929, 4.2929, 6.6587 Å; angles 71.20, 71.20, 90.00 degrees
Sites, in units of the cell vectors:
Ta1 0.6266 0.6266 0.7467
Ta2 0.3734 0.3734 0.2533
Re1 0.2500 0.7500 0.5000
Re2 0.7500 0.2500 0.5000
La1 0.0000 0.0000 0.0000

9.
This record from Alexandria via LeMat-Bulk describes a relaxed Ga3TcH crystal. The functional is PBE.

Properties
E_tot: -4.00 eV/atom
volume: 22.66 Å³/atom

Cell lengths 4.8386, 4.8386, 4.8386 Å; angles 90.00, 90.00, 90.00 degrees
Sites, in units of the cell vectors:
Ga1 0.0000 0.5000 0.0000
Ga2 0.0000 0.0000 0.5000
Ga3 0.5000 0.0000 0.0000
H1 0.5000 0.5000 0.5000
Tc1 0.0000 0.0000 0.0000

10.
This record from Alexandria via LeMat-Bulk describes a relaxed Ce5Rh4 crystal. The functional is PBE.

Properties
volume: 25.23 Å³/atom
calculated formation energy: -0.603 eV/atom

Cell lengths 5.6418, 6.9426, 6.9426 Å; angles 80.50, 66.03, 66.03 degrees
Sites, in units of the cell vectors:
Ce1 0.0991 0.5961 0.2057
Ce2 0.6952 0.2057 0.4039
Ce3 0.9009 0.4039 0.7943
Ce4 0.3048 0.7943 0.5961
Ce5 0.5000 0.0000 0.0000
Rh1 0.7937 0.8097 0.6028
Rh2 0.3966 0.3972 0.8097
Rh3 0.6034 0.6028 0.1903
Rh4 0.2063 0.1903 0.3972

11.
This record from Alexandria via LeMat-Bulk describes a relaxed TiTc2SeCl crystal. The functional is PBE.

Properties
volume: 17.31 Å³/atom
formation energy without anion corrections: 0.7484 eV/atom

Cell lengths 4.3964, 4.4780, 4.3964 Å; angles 90.00, 90.00, 90.00 degrees
Sites, in units of the cell vectors:
Se1 0.5000 0.5000 0.5000
Ti1 0.0000 0.5000 0.0000
Tc1 0.5000 0.0000 0.0000
Tc2 0.0000 0.0000 0.5000
Cl1 0.0000 0.0000 0.0000

12.
This record from Alexandria via LeMat-Bulk describes a relaxed CsScSe2Br crystal. The functional is PBE.

Properties
volume: 31.53 Å³/atom
formation energy without anion corrections: -1.3451 eV/atom

Cell lengths 5.2276, 5.2276, 5.7688 Å; angles 90.00, 90.00, 90.00 degrees
Sites, in units of the cell vectors:
Br1 0.0000 0.0000 0.5000
Cs1 0.5000 0.5000 0.5000
Sc1 0.0000 0.0000 0.0000
Se1 0.0000 0.5000 0.0000
Se2 0.5000 0.0000 0.0000

13.
This record from Alexandria via LeMat-Bulk describes a relaxed Ac2ZnTe crystal. The functional is PBE.

Properties
volume: 36.44 Å³/atom
formation energy without anion corrections: -0.7067 eV/atom

Cell lengths 4.3784, 4.3784, 9.1354 Å; angles 76.13, 76.13, 60.00 degrees
Sites, in units of the cell vectors:
Ac1 0.2489 0.2489 0.2534
Ac2 0.0845 0.0845 0.7466
Zn1 0.4994 0.4994 0.5019
Te1 0.6673 0.6673 0.9981

14.
This record from Alexandria via LeMat-Bulk describes a relaxed Cd4Hg5 crystal. The functional is PBE.

Properties
volume: 24.89 Å³/atom
calculated formation energy: 0.038 eV/atom

Cell lengths 3.4717, 8.2175, 8.2175 Å; angles 87.44, 77.80, 77.80 degrees
Sites, in units of the cell vectors:
Cd1 0.6671 0.0000 0.6657
Cd2 0.3329 0.0000 0.3343
Cd3 0.6671 0.6657 0.0000
Cd4 0.3329 0.3343 0.0000
Hg1 0.0000 0.0000 0.0000
Hg2 0.0000 0.3297 0.6703
Hg3 0.6703 0.3297 0.3297
Hg4 0.3297 0.6703 0.6703
Hg5 0.0000 0.6703 0.3297

15.
This record from Alexandria via LeMat-Bulk describes a relaxed SnAu3 crystal. The functional is PBE.

Properties
volume: 19.72 Å³/atom
calculated formation energy: -0.040 eV/atom

Cell lengths 5.9035, 5.9035, 5.2281 Å; angles 90.00, 90.00, 120.00 degrees
Sites, in units of the cell vectors:
Au1 0.8344 0.1656 0.7500
Au2 0.3311 0.1656 0.7500
Au3 0.8344 0.6689 0.7500
Au4 0.6689 0.8344 0.2500
Au5 0.1656 0.8344 0.2500
Au6 0.1656 0.3311 0.2500
Sn1 0.6667 0.3333 0.2500
Sn2 0.3333 0.6667 0.7500

16.
This record from Alexandria via LeMat-Bulk describes a relaxed NdCdPb2 crystal. The functional is PBE.

Properties
volume: 27.97 Å³/atom
calculated formation energy: -0.384 eV/atom

Cell lengths 4.6204, 4.9207, 4.9207 Å; angles 90.00, 90.00, 90.00 degrees
Sites, in units of the cell vectors:
Pb1 0.0000 0.0000 0.5000
Pb2 0.0000 0.5000 0.0000
Nd1 0.5000 0.5000 0.5000
Cd1 0.5000 0.0000 0.0000

17.
This record from Alexandria via LeMat-Bulk describes a relaxed Pt2WSe crystal. The functional is PBE.

Properties
volume: 16.06 Å³/atom
formation energy without anion corrections: 0.2390 eV/atom

Cell lengths 5.4118, 5.4118, 5.4118 Å; angles 147.94, 129.57, 61.02 degrees
Sites, in units of the cell vectors:
Pt1 0.4930 0.4930 0.0000
Pt2 0.0070 0.0070 0.0000
W1 0.7500 0.2500 0.5000
Se1 0.2500 0.7500 0.5000

18.
This record from Alexandria via LeMat-Bulk describes a relaxed Ca2ZrCd crystal. The functional is PBE.

Properties
volume: 30.25 Å³/atom
calculated formation energy: 0.425 eV/atom

Cell lengths 8.6613, 8.6613, 6.9220 Å; angles 51.27, 51.27, 90.00 degrees
Sites, in units of the cell vectors:
Zr1 0.5000 0.5000 0.0000
Zr2 0.2500 0.7500 0.5000
Cd1 0.0000 0.0000 0.0000
Cd2 0.7500 0.2500 0.5000
Ca1 0.8750 0.9031 0.7500
Ca2 0.6531 0.1250 0.2500
Ca3 0.0969 0.6250 0.2500
Ca4 0.3750 0.3469 0.7500

19.
This record from Alexandria via LeMat-Bulk describes a relaxed Zr2InSb crystal. The functional is PBE.

Properties
volume: 25.02 Å³/atom
formation energy without anion corrections: -0.2505 eV/atom

Cell lengths 3.7778, 3.7778, 8.3859 Å; angles 76.98, 76.98, 60.00 degrees
Sites, in units of the cell vectors:
Zr1 0.0762 0.0762 0.7713
Zr2 0.2573 0.2573 0.2282
In1 0.4993 0.4993 0.5021
Sb1 0.6672 0.6672 0.9984

20.
This record from Alexandria via LeMat-Bulk describes a relaxed ZrZn3I crystal. The functional is PBE.

Properties
volume: 32.94 Å³/atom
formation energy without anion corrections: 0.7228 eV/atom

Cell lengths 5.4816, 5.4816, 5.4816 Å; angles 90.00, 90.00, 90.00 degrees
Sites, in units of the cell vectors:
I1 0.5000 0.5000 0.5000
Zn1 0.0000 0.0000 0.5000
Zn2 0.0000 0.5000 0.0000
Zn3 0.5000 0.0000 0.0000
Zr1 0.0000 0.0000 0.0000